Entry 1:
Computed, not measured: a PBEsol-optimized structure of SrFeBP2H2O10 at the SCAN level of DFT.

The structure in CIF format:
```
data_SrFeBP2H2O10
_chemical_formula_sum 'Sr2 Fe2 B2 P4 H4 O20'
_cell_length_a 6.6134
_cell_length_b 6.6316
_cell_length_c 9.2044
_cell_angle_alpha 101.19
_cell_angle_beta 110.91
_cell_angle_gamma 103.52
_space_group_name_H-M_alt 'P -1'
_space_group_IT_number 2
loop_
_space_group_symop_operation_xyz
'x,y,z'
'-x,-y,-z'
loop_
_atom_site_label
_atom_site_type_symbol
_atom_site_fract_x
_atom_site_fract_y
_atom_site_fract_z
_atom_site_occupancy
Sr1 Sr 0.0954 0.3391 0.2424 1
Fe1 Fe 0.5000 0.0000 0.5000 1
Fe2 Fe 0.5000 0.5000 0.0000 1
B1 B 0.2910 0.0392 0.7425 1
P1 P 0.0325 0.7869 0.1902 1
P2 P 0.3990 0.6581 0.6753 1
H1 H 0.2829 0.2262 0.5795 1
H2 H 0.3662 0.8253 0.0944 1
O1 O 0.0670 0.0410 0.7438 1
O2 O 0.1147 0.8495 0.0659 1
O3 O 0.1570 0.4384 0.8785 1
O4 O 0.2261 0.4468 0.5485 1
O5 O 0.2341 0.7703 0.3361 1
O6 O 0.2730 0.8094 0.7321 1
O7 O 0.3087 0.0844 0.5959 1
O8 O 0.4379 0.2041 0.3826 1
O9 O 0.4406 0.3903 0.1762 1
O10 O 0.4792 0.1916 0.8910 1
```

Summary:
- magnetic moment (Bohr magnetons per cell) = 6.0
- E (eV/atom) = -10.446
- D(E_F) (states/eV per cell) = 2.46

=====

Entry 2:
Computed, not measured: a PBEsol-optimized structure of HfFe2BI at the SCAN level of DFT.

The structure in CIF format:
```
data_HfFe2BI
_chemical_formula_sum 'Hf1 Fe2 B1 I1'
_cell_length_a 4.7164
_cell_length_b 4.7164
_cell_length_c 4.4517
_cell_angle_alpha 90.00
_cell_angle_beta 90.00
_cell_angle_gamma 90.00
_space_group_name_H-M_alt 'P 4/m m m'
_space_group_IT_number 123
_space_group_name_Hall '-P 4 2'
loop_
_atom_site_label
_atom_site_type_symbol
_atom_site_fract_x
_atom_site_fract_y
_atom_site_fract_z
_atom_site_occupancy
Hf1 Hf 0.0000 0.0000 0.0000 1
Fe1 Fe 0.0000 0.5000 0.0000 1
B1 B 0.0000 0.0000 0.5000 1
I1 I 0.5000 0.5000 0.5000 1
```

Summary:
- magnetic moment (Bohr magnetons per cell) = 5.0
- E_form (uncorrected) (eV per atom) = 1.713
- D(E_F) (states/eV per cell) = 4.07

=====

Entry 3:
Computed, not measured: a PBEsol-optimized structure of LaHfFe2B at the SCAN level of DFT.

The structure in CIF format:
```
data_LaHfFe2B
_chemical_formula_sum 'La1 Hf1 Fe2 B1'
_cell_length_a 4.0871
_cell_length_b 4.0871
_cell_length_c 4.6344
_cell_angle_alpha 90.00
_cell_angle_beta 90.00
_cell_angle_gamma 90.00
_space_group_name_H-M_alt 'P 4/m m m'
_space_group_IT_number 123
_space_group_name_Hall '-P 4 2'
loop_
_atom_site_label
_atom_site_type_symbol
_atom_site_fract_x
_atom_site_fract_y
_atom_site_fract_z
_atom_site_occupancy
La1 La 0.0000 0.0000 0.0000 1
Hf1 Hf 0.5000 0.5000 0.0000 1
Fe1 Fe 0.0000 0.5000 0.5000 1
B1 B 0.5000 0.5000 0.5000 1
```

Summary:
- magnetic moment (Bohr magnetons per cell) = 5.2
- formation enthalpy at 0 K (eV per atom) = 0.26
- D(E_F) (states/eV per cell) = 5.11

=====

Entry 4:
Computed, not measured: a PBEsol-optimized structure of Fe3HgB at the SCAN level of DFT.

The structure in CIF format:
```
data_Fe3HgB
_chemical_formula_sum 'Fe3 Hg1 B1'
_cell_length_a 4.7247
_cell_length_b 4.7247
_cell_length_c 4.7247
_cell_angle_alpha 90.00
_cell_angle_beta 90.00
_cell_angle_gamma 90.00
_space_group_name_H-M_alt 'P m -3 m'
_space_group_IT_number 221
_space_group_name_Hall '-P 4 2 3'
loop_
_atom_site_label
_atom_site_type_symbol
_atom_site_fract_x
_atom_site_fract_y
_atom_site_fract_z
_atom_site_occupancy
Fe1 Fe 0.0000 0.0000 0.5000 1
Hg1 Hg 0.0000 0.0000 0.0000 1
B1 B 0.5000 0.5000 0.5000 1
```

Summary:
- magnetic moment (Bohr magnetons per cell) = 9.7
- formation enthalpy at 0 K (eV per atom) = 2.24
- D(E_F) (states/eV per cell) = 7.49

=====

Entry 5:
Computed, not measured: a PBEsol-optimized structure of Fe3HgB at the SCAN level of DFT.

The structure in CIF format:
```
data_Fe3HgB
_chemical_formula_sum 'Fe3 Hg1 B1'
_cell_length_a 3.8909
_cell_length_b 3.8909
_cell_length_c 3.8909
_cell_angle_alpha 90.00
_cell_angle_beta 90.00
_cell_angle_gamma 90.00
_space_group_name_H-M_alt 'P m -3 m'
_space_group_IT_number 221
_space_group_name_Hall '-P 4 2 3'
loop_
_atom_site_label
_atom_site_type_symbol
_atom_site_fract_x
_atom_site_fract_y
_atom_site_fract_z
_atom_site_occupancy
Fe1 Fe 0.0000 0.0000 0.5000 1
Hg1 Hg 0.5000 0.5000 0.5000 1
B1 B 0.0000 0.0000 0.0000 1
```

Summary:
- magnetic moment (Bohr magnetons per cell) = 7.2
- formation enthalpy at 0 K (eV per atom) = 0.17
- D(E_F) (states/eV per cell) = 2.93

=====

Entry 6:
Computed, not measured: a PBEsol-optimized structure of HoFe2B2 at the SCAN level of DFT.

The structure in CIF format:
```
data_HoFe2B2
_chemical_formula_sum 'Ho2 Fe4 B4'
_cell_length_a 3.5393
_cell_length_b 3.5393
_cell_length_c 9.2096
_cell_angle_alpha 90.00
_cell_angle_beta 90.00
_cell_angle_gamma 90.00
_space_group_name_H-M_alt 'I 4/m m m'
_space_group_IT_number 139
_space_group_name_Hall '-I 4 2'
loop_
_atom_site_label
_atom_site_type_symbol
_atom_site_fract_x
_atom_site_fract_y
_atom_site_fract_z
_atom_site_occupancy
Ho1 Ho 0.0000 0.0000 0.0000 1
Fe1 Fe 0.0000 0.5000 0.2500 1
B1 B 0.0000 0.0000 0.3490 1
```

Summary:
- magnetic moment (Bohr magnetons per cell) = 3.9
- formation enthalpy at 0 K (eV per atom) = -0.41
- D(E_F) (states/eV per cell) = 5.51

=====

Among the records above, which one has the lowest D(E_F)?
SrFeBP2H2O10